! Ca2SbCl PBE relaxed; values from VASP
! E_form (uncorrected) = -1.25 eV/atom
! Density of states at the Fermi level = 0.000 states/eV per cell
! Theoretical density = 2.6 Mg/m³
&SYSTEM
  ibrav = 0, nat = 8, ntyp = 3
/
ATOMIC_SPECIES
Sb 121.76 Sb.upf
Ca 40.08 Ca.upf
Cl 35.45 Cl.upf
CELL_PARAMETERS angstrom
-4.241 0.962 4.784
-3.840 -4.569 -2.485
-0.609 -6.899 5.216
ATOMIC_POSITIONS angstrom
Sb 0.000 0.000 0.000
Sb -4.445 -3.871 5.575
Ca -3.220 -1.709 3.913
Ca -3.145 -4.446 0.419
Ca -3.543 -6.595 4.737
Ca -7.470 -8.263 5.960
Cl -4.040 -1.804 1.149
Cl -4.244 -6.636 1.940